Record 1
# Sc3Ga5 (GGA-PBE, relaxed)
data_Sc3Ga5
_chemical_formula_sum 'Sc6 Ga10'
_cell_length_a 5.4854
_cell_length_b 7.2457
_cell_length_c 8.7599
_cell_angle_alpha 83.19
_cell_angle_beta 71.75
_cell_angle_gamma 67.76
_space_group_name_H-M_alt 'P 1'
_space_group_IT_number 1
loop_
_space_group_symop_operation_xyz
'x,y,z'
loop_
_atom_site_label
_atom_site_type_symbol
_atom_site_fract_x
_atom_site_fract_y
_atom_site_fract_z
_atom_site_occupancy
Ga1 Ga 0.1748 0.0995 0.8670 1
Ga2 Ga 0.7258 0.0995 0.1330 1
Ga3 Ga 0.2548 0.2200 0.3441 1
Ga4 Ga 0.4311 0.7200 0.8441 1
Ga5 Ga 0.2918 0.5995 0.6330 1
Ga6 Ga 0.5252 0.2200 0.6559 1
Ga7 Ga 0.7606 0.4789 0.0000 1
Ga8 Ga 0.8489 0.7200 0.1559 1
Ga9 Ga 0.1087 0.5995 0.3670 1
Ga10 Ga 0.0106 0.9789 0.5000 1
Sc1 Sc 0.9115 0.3953 0.6598 1
Sc2 Sc 0.2835 0.8953 0.1598 1
Sc3 Sc 0.6933 0.3953 0.3402 1
Sc4 Sc 0.3126 0.3748 0.0000 1
Sc5 Sc 0.5626 0.8748 0.5000 1
Sc6 Sc 0.8212 0.8953 0.8402 1
# E: -4.742 eV/atom
# Total magnetic moment: 0.00 μB/cell
# ΔE_f: -368 kJ/mol of formula units
# Theoretical density: 5.2 Mg/m³
# Polymorph energy (0 for the lowest one): 0.127 eV/atom

Record 2
# Sc2Ga3 (GGA-PBE, relaxed)
data_Sc2Ga3
_chemical_formula_sum 'Sc2 Ga3'
_cell_length_a 4.3040
_cell_length_b 4.3040
_cell_length_c 6.6122
_cell_angle_alpha 71.01
_cell_angle_beta 71.01
_cell_angle_gamma 60.00
_space_group_name_H-M_alt 'P 1'
_space_group_IT_number 1
loop_
_space_group_symop_operation_xyz
'x,y,z'
loop_
_atom_site_label
_atom_site_type_symbol
_atom_site_fract_x
_atom_site_fract_y
_atom_site_fract_z
_atom_site_occupancy
Ga1 Ga 0.0000 0.0000 0.0000 1
Ga2 Ga 0.1543 0.1543 0.5370 1
Ga3 Ga 0.8457 0.8457 0.4630 1
Sc1 Sc 0.4019 0.4019 0.7942 1
Sc2 Sc 0.5981 0.5981 0.2058 1
# E: -4.809 eV/atom
# Total magnetic moment: 0.00 μB/cell
# ΔE_f: -222 kJ/mol of formula units
# Theoretical density: 5.1 Mg/m³

Record 3
# Sc3Ga2 (GGA-PBE, relaxed)
data_Sc3Ga2
_chemical_formula_sum 'Sc24 Ga16'
_cell_length_a 10.3759
_cell_length_b 10.3759
_cell_length_c 10.3759
_cell_angle_alpha 117.08
_cell_angle_beta 117.08
_cell_angle_gamma 95.14
_space_group_name_H-M_alt 'P 1'
_space_group_IT_number 1
loop_
_space_group_symop_operation_xyz
'x,y,z'
loop_
_atom_site_label
_atom_site_type_symbol
_atom_site_fract_x
_atom_site_fract_y
_atom_site_fract_z
_atom_site_occupancy
Ga1 Ga 0.8760 0.0233 0.5000 1
Ga2 Ga 0.2500 0.2500 0.0000 1
Ga3 Ga 0.7500 0.7500 0.0000 1
Ga4 Ga 0.6240 0.1240 0.1473 1
Ga5 Ga 0.0233 0.5233 0.1473 1
Ga6 Ga 0.4767 0.6240 0.5000 1
Ga7 Ga 0.1180 0.3820 0.5000 1
Ga8 Ga 0.8820 0.6180 0.5000 1
Ga9 Ga 0.9767 0.4767 0.8527 1
Ga10 Ga 0.5233 0.3760 0.5000 1
Ga11 Ga 0.5000 0.5000 0.0000 1
Ga12 Ga 0.0000 0.0000 0.0000 1
Ga13 Ga 0.3820 0.8820 0.2640 1
Ga14 Ga 0.6180 0.1180 0.7360 1
Ga15 Ga 0.3760 0.8760 0.8527 1
Ga16 Ga 0.1240 0.9767 0.5000 1
Sc1 Sc 0.6469 0.1469 0.5000 1
Sc2 Sc 0.0697 0.9319 0.7297 1
Sc3 Sc 0.3400 0.0697 0.1378 1
Sc4 Sc 0.6600 0.9303 0.8622 1
Sc5 Sc 0.9319 0.2022 0.8622 1
Sc6 Sc 0.3299 0.1701 0.5000 1
Sc7 Sc 0.1469 0.6469 0.5000 1
Sc8 Sc 0.8400 0.7022 0.2703 1
Sc9 Sc 0.4303 0.1600 0.8622 1
Sc10 Sc 0.8299 0.3299 0.1598 1
Sc11 Sc 0.4319 0.5697 0.7297 1
Sc12 Sc 0.6701 0.8299 0.5000 1
Sc13 Sc 0.3531 0.8531 0.5000 1
Sc14 Sc 0.5697 0.8400 0.1378 1
Sc15 Sc 0.7978 0.6600 0.7297 1
Sc16 Sc 0.9303 0.0681 0.2703 1
Sc17 Sc 0.7022 0.4319 0.8622 1
Sc18 Sc 0.1600 0.2978 0.7297 1
Sc19 Sc 0.8531 0.3531 0.5000 1
Sc20 Sc 0.2978 0.5681 0.1378 1
Sc21 Sc 0.0681 0.7978 0.1378 1
Sc22 Sc 0.1701 0.6701 0.8402 1
Sc23 Sc 0.5681 0.4303 0.2703 1
Sc24 Sc 0.2022 0.3400 0.2703 1
# E: -5.584 eV/atom
# Total magnetic moment: 0.00 μB/cell
# ΔE_f: -277 kJ/mol of formula units
# Theoretical density: 4.4 Mg/m³

Record 4
# ScGa (GGA-PBE, relaxed)
data_ScGa
_chemical_formula_sum 'Sc2 Ga2'
_cell_length_a 4.8163
_cell_length_b 4.8163
_cell_length_c 5.4649
_cell_angle_alpha 90.00
_cell_angle_beta 90.00
_cell_angle_gamma 120.00
_space_group_name_H-M_alt 'P 1'
_space_group_IT_number 1
loop_
_space_group_symop_operation_xyz
'x,y,z'
loop_
_atom_site_label
_atom_site_type_symbol
_atom_site_fract_x
_atom_site_fract_y
_atom_site_fract_z
_atom_site_occupancy
Sc1 Sc 0.6667 0.3333 0.7500 1
Sc2 Sc 0.3333 0.6667 0.2500 1
Ga1 Ga 0.6667 0.3333 0.2500 1
Ga2 Ga 0.3333 0.6667 0.7500 1
# E: -4.500 eV/atom
# Total magnetic moment: 0.00 μB/cell
# ΔE_f: 35 kJ/mol of formula units
# Theoretical density: 3.5 Mg/m³

Record 5
# ScGa (GGA-PBE, relaxed)
data_ScGa
_chemical_formula_sum 'Sc6 Ga6'
_cell_length_a 7.6170
_cell_length_b 7.6170
_cell_length_c 7.6170
_cell_angle_alpha 90.00
_cell_angle_beta 90.00
_cell_angle_gamma 90.00
_space_group_name_H-M_alt 'P 1'
_space_group_IT_number 1
loop_
_space_group_symop_operation_xyz
'x,y,z'
loop_
_atom_site_label
_atom_site_type_symbol
_atom_site_fract_x
_atom_site_fract_y
_atom_site_fract_z
_atom_site_occupancy
Ga1 Ga 0.5000 0.2500 0.0000 1
Ga2 Ga 0.0000 0.5000 0.7500 1
Ga3 Ga 0.2500 0.0000 0.5000 1
Ga4 Ga 0.0000 0.5000 0.2500 1
Ga5 Ga 0.5000 0.7500 0.0000 1
Ga6 Ga 0.7500 0.0000 0.5000 1
Sc1 Sc 0.0000 0.7500 0.5000 1
Sc2 Sc 0.2500 0.5000 0.0000 1
Sc3 Sc 0.5000 0.0000 0.7500 1
Sc4 Sc 0.5000 0.0000 0.2500 1
Sc5 Sc 0.0000 0.2500 0.5000 1
Sc6 Sc 0.7500 0.5000 0.0000 1
# E: -4.029 eV/atom
# Total magnetic moment: 0.00 μB/cell
# ΔE_f: 125 kJ/mol of formula units
# Theoretical density: 2.6 Mg/m³

Record 6
# ScGa (GGA-PBE, relaxed)
data_ScGa
_chemical_formula_sum 'Sc4 Ga4'
_cell_length_a 5.3003
_cell_length_b 5.4311
_cell_length_c 5.4311
_cell_angle_alpha 100.43
_cell_angle_beta 90.00
_cell_angle_gamma 90.00
_space_group_name_H-M_alt 'P 1'
_space_group_IT_number 1
loop_
_space_group_symop_operation_xyz
'x,y,z'
loop_
_atom_site_label
_atom_site_type_symbol
_atom_site_fract_x
_atom_site_fract_y
_atom_site_fract_z
_atom_site_occupancy
Sc1 Sc 0.2500 0.4603 0.8461 1
Sc2 Sc 0.7500 0.5397 0.1539 1
Sc3 Sc 0.2500 0.8461 0.4603 1
Sc4 Sc 0.7500 0.1539 0.5397 1
Ga1 Ga 0.7500 0.6697 0.6697 1
Ga2 Ga 0.5000 0.0000 0.0000 1
Ga3 Ga 0.0000 0.0000 0.0000 1
Ga4 Ga 0.2500 0.3303 0.3303 1
# E: -5.232 eV/atom
# Total magnetic moment: 0.02 μB/cell
# ΔE_f: -107 kJ/mol of formula units
# Theoretical density: 5.0 Mg/m³

Record 7
# Sc3Ga5 (GGA-PBE, relaxed)
data_Sc3Ga5
_chemical_formula_sum 'Sc6 Ga10'
_cell_length_a 5.6877
_cell_length_b 5.6877
_cell_length_c 9.2617
_cell_angle_alpha 90.00
_cell_angle_beta 90.00
_cell_angle_gamma 101.49
_space_group_name_H-M_alt 'P 1'
_space_group_IT_number 1
loop_
_space_group_symop_operation_xyz
'x,y,z'
loop_
_atom_site_label
_atom_site_type_symbol
_atom_site_fract_x
_atom_site_fract_y
_atom_site_fract_z
_atom_site_occupancy
Sc1 Sc 0.7982 0.2018 0.0000 1
Sc2 Sc 0.2018 0.7982 0.0000 1
Sc3 Sc 0.3696 0.3696 0.2500 1
Sc4 Sc 0.2018 0.7982 0.5000 1
Sc5 Sc 0.7982 0.2018 0.5000 1
Sc6 Sc 0.6304 0.6304 0.7500 1
Ga1 Ga 0.6876 0.6876 0.4514 1
Ga2 Ga 0.4910 0.9190 0.2500 1
Ga3 Ga 0.3124 0.3124 0.9514 1
Ga4 Ga 0.3124 0.3124 0.5486 1
Ga5 Ga 0.9190 0.4910 0.2500 1
Ga6 Ga 0.6876 0.6876 0.0486 1
Ga7 Ga 0.5090 0.0810 0.7500 1
Ga8 Ga 0.9872 0.9872 0.2500 1
Ga9 Ga 0.0128 0.0128 0.7500 1
Ga10 Ga 0.0810 0.5090 0.7500 1
# E: -4.866 eV/atom
# Total magnetic moment: 0.00 μB/cell
# ΔE_f: -463 kJ/mol of formula units
# Theoretical density: 5.5 Mg/m³
# Polymorph energy (0 for the lowest one): 0.003 eV/atom